Record 1
Material: CeSi2Os
Method: DFT, PBE
State: relaxed

abc: 4.1448 6.9202 10.1118
angles: 90.00 90.00 90.00
Atoms (fractional coordinates):
Ce (0.7500, 0.6605, 0.3726)
Ce (0.7500, 0.1605, 0.1274)
Ce (0.2500, 0.3395, 0.6274)
Ce (0.2500, 0.8395, 0.8726)
Si (0.7500, 0.6937, 0.0807)
Si (0.2500, 0.3063, 0.9193)
Si (0.7500, 0.1937, 0.4193)
Si (0.2500, 0.8063, 0.5807)
Si (0.7500, 0.1473, 0.8203)
Si (0.2500, 0.3527, 0.3203)
Si (0.7500, 0.6473, 0.6797)
Si (0.2500, 0.8527, 0.1797)
Os (0.2500, 0.0088, 0.3891)
Os (0.7500, 0.9912, 0.6109)
Os (0.2500, 0.5088, 0.1109)
Os (0.7500, 0.4912, 0.8891)

Computed properties:
N(E_F)	3.35	states/eV/f.u.
symmetry	Pnma (62)

***

Record 2
Material: Ce3Si4Os2
Method: DFT, PBE
State: relaxed

abc: 4.1693 5.9203 8.1564
angles: 108.24 90.00 110.62
Atoms (fractional coordinates):
Ce (0.6114, 0.2228, 0.6884)
Ce (0.0000, 0.0000, 0.0000)
Ce (0.3886, 0.7772, 0.3116)
Si (0.7197, 0.4394, 0.0733)
Si (0.2803, 0.5606, 0.9267)
Si (0.8948, 0.7897, 0.6036)
Si (0.1052, 0.2103, 0.3964)
Os (0.6950, 0.3899, 0.3548)
Os (0.3050, 0.6101, 0.6452)

Computed properties:
N(E_F)	11.58	states/eV/f.u.
symmetry	C2/m (12)
energy relative to the lowest polymorph listed for this composition	0.00	eV per formula unit

***

Record 3
Material: CeSi2Os2
Method: DFT, PBE
State: relaxed

abc: 5.7185 5.7185 5.7185
angles: 136.96 136.96 62.51
Atoms (fractional coordinates):
Ce (0.0000, 0.0000, 0.0000)
Si (0.6291, 0.6291, 0.0000)
Si (0.3709, 0.3709, 0.0000)
Os (0.7500, 0.2500, 0.5000)
Os (0.2500, 0.7500, 0.5000)

Computed properties:
N(E_F)	5.24	states/eV/f.u.
symmetry	I4/mmm (139)

***

Record 4
Material: Ce7Si5Os
Method: DFT, PBE
State: relaxed

abc: 6.0854 7.8577 7.8577
angles: 85.21 67.22 67.22
Atoms (fractional coordinates):
Ce (0.7032, 0.2968, 0.2968)
Ce (0.2380, 0.7620, 0.7620)
Ce (0.9664, 0.3122, 0.7549)
Ce (0.9664, 0.7549, 0.3122)
Ce (0.3253, 0.1747, 0.1747)
Ce (0.5391, 0.7961, 0.1257)
Ce (0.5391, 0.1257, 0.7961)
Si (0.4415, 0.0197, 0.4946)
Si (0.0443, 0.0197, 0.4946)
Si (0.4415, 0.4946, 0.0197)
Si (0.0443, 0.4946, 0.0197)
Si (0.7861, 0.7139, 0.7139)
Os (0.9648, 0.0352, 0.0352)

Computed properties:
N(E_F)	24.70	states/eV/f.u.
symmetry	Imm2 (44)

***

Record 5
Material: Ce6Si3Os
Method: DFT, PBE
State: relaxed

abc: 3.9274 10.3983 13.1570
angles: 114.47 90.00 90.00
Atoms (fractional coordinates):
Ce (0.7500, 0.5028, 0.6492)
Ce (0.2500, 0.4972, 0.3508)
Ce (0.7500, 0.8306, 0.1093)
Ce (0.2500, 0.1694, 0.8907)
Ce (0.7500, 0.4028, 0.0860)
Ce (0.2500, 0.5972, 0.9140)
Ce (0.7500, 0.7441, 0.3375)
Ce (0.2500, 0.2559, 0.6625)
Ce (0.7500, 0.0983, 0.4364)
Ce (0.2500, 0.9017, 0.5636)
Ce (0.7500, 0.8335, 0.7778)
Ce (0.2500, 0.1665, 0.2222)
Si (0.7500, 0.3641, 0.8457)
Si (0.2500, 0.6359, 0.1543)
Si (0.7500, 0.6707, 0.5245)
Si (0.2500, 0.3293, 0.4755)
Si (0.7500, 0.0785, 0.0295)
Si (0.2500, 0.9215, 0.9705)
Os (0.7500, 0.0824, 0.7122)
Os (0.2500, 0.9176, 0.2878)

Computed properties:
N(E_F)	21.78	states/eV/f.u.
symmetry	P2_1/m (11)

***

Record 6
Material: Ce5Si3Os
Method: DFT, PBE
State: relaxed

abc: 8.3115 8.3115 7.8600
angles: 68.32 68.32 74.42
Atoms (fractional coordinates):
Ce (0.9628, 0.3902, 0.3760)
Ce (0.2782, 0.7218, 0.0000)
Ce (0.7771, 0.7771, 0.0285)
Ce (0.5502, 0.5502, 0.2689)
Ce (0.4498, 0.4498, 0.7311)
Ce (0.2229, 0.2229, 0.9715)
Ce (0.3902, 0.9628, 0.3760)
Ce (0.7218, 0.2782, 0.0000)
Ce (0.0372, 0.6098, 0.6240)
Ce (0.6098, 0.0372, 0.6240)
Si (0.6512, 0.6512, 0.8173)
Si (0.7003, 0.7003, 0.4649)
Si (0.0000, 0.0000, 0.0000)
Si (0.0000, 0.0000, 0.5000)
Si (0.3488, 0.3488, 0.1827)
Si (0.2997, 0.2997, 0.5351)
Os (0.0981, 0.0981, 0.6758)
Os (0.9019, 0.9019, 0.3242)

Computed properties:
N(E_F)	24.14	states/eV/f.u.
symmetry	C2/m (12)

***

Record 7
Material: Ce3Si5Os6
Method: DFT, PBE
State: relaxed

abc: 4.1006 9.6622 12.4704
angles: 90.00 90.00 90.00
Atoms (fractional coordinates):
Ce (0.0000, 0.2517, 0.6623)
Ce (0.5000, 0.7483, 0.1623)
Ce (0.5000, 0.7483, 0.8377)
Ce (0.0000, 0.2531, 0.0000)
Ce (0.5000, 0.7469, 0.5000)
Ce (0.0000, 0.2517, 0.3377)
Si (0.0000, 0.5143, 0.8765)
Si (0.0000, 0.8512, 0.6729)
Si (0.0000, 0.8995, 0.0000)
Si (0.5000, 0.4857, 0.6235)
Si (0.5000, 0.1005, 0.5000)
Si (0.0000, 0.5143, 0.1235)
Si (0.5000, 0.4857, 0.3765)
Si (0.0000, 0.8512, 0.3271)
Si (0.5000, 0.1488, 0.8271)
Si (0.5000, 0.1488, 0.1729)
Os (0.0000, 0.0117, 0.8287)
Os (0.5000, 0.9883, 0.6713)
Os (0.5000, 0.4002, 0.8034)
Os (0.5000, 0.5221, 0.0000)
Os (0.0000, 0.4779, 0.5000)
Os (0.0000, 0.5998, 0.6966)
Os (0.0000, 0.5998, 0.3034)
Os (0.5000, 0.0261, 0.0000)
Os (0.0000, 0.0117, 0.1713)
Os (0.5000, 0.4002, 0.1966)
Os (0.0000, 0.9739, 0.5000)
Os (0.5000, 0.9883, 0.3287)

Computed properties:
N(E_F)	13.62	states/eV/f.u.
symmetry	Pmmn (59)

***

Record 8
Material: Ce2Si3Os2
Method: DFT, PBE
State: relaxed

abc: 4.1987 6.8170 9.1758
angles: 90.00 103.23 90.00
Atoms (fractional coordinates):
Ce (0.1559, 0.2500, 0.3119)
Ce (0.8441, 0.7500, 0.6881)
Ce (0.9473, 0.2500, 0.8947)
Ce (0.0527, 0.7500, 0.1053)
Si (0.2207, 0.7500, 0.4415)
Si (0.7793, 0.2500, 0.5585)
Si (0.5619, 0.4330, 0.1237)
Si (0.4381, 0.5670, 0.8763)
Si (0.4381, 0.9330, 0.8763)
Si (0.5619, 0.0670, 0.1237)
Os (0.6919, 0.9494, 0.3839)
Os (0.3081, 0.0506, 0.6161)
Os (0.3081, 0.4494, 0.6161)
Os (0.6919, 0.5506, 0.3839)

Computed properties:
N(E_F)	7.33	states/eV/f.u.
symmetry	Cmcm (63)
energy relative to the lowest polymorph listed for this composition	0.00	eV per formula unit

***

Record 9
Material: CeSi2Os4
Method: DFT, PBE
State: relaxed

abc: 3.9036 7.5868 7.5868
angles: 90.00 90.00 90.00
Atoms (fractional coordinates):
Ce (0.5000, 0.0000, 0.0000)
Ce (0.0000, 0.5000, 0.5000)
Si (0.0000, 0.2186, 0.7814)
Si (0.0000, 0.7814, 0.2186)
Si (0.5000, 0.7186, 0.7186)
Si (0.5000, 0.2814, 0.2814)
Os (0.0000, 0.0799, 0.3410)
Os (0.0000, 0.9201, 0.6590)
Os (0.5000, 0.1590, 0.5799)
Os (0.5000, 0.8410, 0.4201)
Os (0.5000, 0.4201, 0.8410)
Os (0.5000, 0.5799, 0.1590)
Os (0.0000, 0.3410, 0.0799)
Os (0.0000, 0.6590, 0.9201)

Computed properties:
N(E_F)	6.04	states/eV/f.u.
symmetry	P4_2/mnm (136)
energy relative to the lowest polymorph listed for this composition	0.05	eV per formula unit

***

Record 10
Material: CeSi3Os3
Method: DFT, PBE
State: relaxed

abc: 6.5549 6.5549 6.5549
angles: 90.00 90.00 90.00
Atoms (fractional coordinates):
Si (0.0000, 0.2500, 0.5000)
Si (0.0000, 0.7500, 0.5000)
Si (0.5000, 0.0000, 0.7500)
Si (0.7500, 0.5000, 0.0000)
Si (0.5000, 0.0000, 0.2500)
Si (0.2500, 0.5000, 0.0000)
Os (0.2500, 0.0000, 0.5000)
Os (0.0000, 0.5000, 0.2500)
Os (0.5000, 0.7500, 0.0000)
Os (0.7500, 0.0000, 0.5000)
Os (0.0000, 0.5000, 0.7500)
Os (0.5000, 0.2500, 0.0000)
Ce (0.5000, 0.5000, 0.5000)
Ce (0.0000, 0.0000, 0.0000)

Computed properties:
N(E_F)	9.49	states/eV/f.u.
symmetry	Pm-3n (223)
energy relative to the lowest polymorph listed for this composition	1.26	eV per formula unit

***

Number 1: raw total energy -7.706 eV/atom. Number 2: raw total energy -7.564 eV/atom. Number 3: raw total energy -8.564 eV/atom. Number 4: raw total energy -6.485 eV/atom. Number 5: raw total energy -6.655 eV/atom. Number 6: raw total energy -6.516 eV/atom. Number 7: raw total energy -8.571 eV/atom. Number 8: raw total energy -7.806 eV/atom. Number 9: raw total energy -9.280 eV/atom. Number 10: raw total energy -7.949 eV/atom.